A plane-wave DFT calculation with PBE was carried out for a geometry-optimized Ho6TmSe8 structure.

a = 8.0591 Å, b = 8.0591 Å, c = 8.0591 Å
α = 60.00°, β = 60.00°, γ = 60.00°
Atoms (fractional coordinates):
Se  0.7483  0.7483  0.2517
Se  0.2517  0.2517  0.7483
Se  0.2517  0.7483  0.7483
Se  0.2500  0.2500  0.2500
Se  0.7483  0.2517  0.2517
Se  0.7483  0.2517  0.7483
Se  0.2517  0.7483  0.2517
Se  0.7500  0.7500  0.7500
Ho  0.5000  0.0000  0.5000
Ho  0.0000  0.5000  0.5000
Ho  0.5000  0.5000  0.0000
Ho  0.0000  0.0000  0.5000
Ho  0.5000  0.0000  0.0000
Ho  0.0000  0.5000  0.0000
Tm  0.0000  0.0000  0.0000

Values from the calculation:
The calculated density is 8.03 g/cm3. The total energy is -0.213 hartree per atom. Its total magnetization is 0.00 μB per formula unit.



A plane-wave DFT calculation with PBE was carried out for a geometry-optimized HoUSe3 structure.

a = 6.9028 Å, b = 6.9028 Å, c = 9.9239 Å
α = 90.00°, β = 90.00°, γ = 146.70°
Last column: magnetic moment on the atom in μB.
Atoms (fractional coordinates):
Ho  0.0000  0.0000  0.5000  0.04
Ho  0.0000  0.0000  0.0000  0.04
U  0.2494  0.7506  0.7500  2.65
U  0.7506  0.2494  0.2500  2.65
Se  0.6464  0.3536  0.9330  -0.03
Se  0.0923  0.9077  0.2500  -0.04
Se  0.9077  0.0923  0.7500  -0.04
Se  0.3536  0.6464  0.0670  -0.03
Se  0.6464  0.3536  0.5670  -0.03
Se  0.3536  0.6464  0.4330  -0.03

Values from the calculation:
The calculated density is 8.19 g/cm3. The total energy is -0.247 hartree per atom. Its total magnetization is 2.83 μB per formula unit.



A plane-wave DFT calculation with PBE was carried out for a geometry-optimized YHo2Se3 structure.

a = 4.0563 Å, b = 4.0563 Å, c = 9.9378 Å
α = 90.00°, β = 90.00°, γ = 120.00°
Atoms (fractional coordinates):
Y  0.0000  0.0000  0.5000
Se  0.0000  0.0000  0.0000
Se  0.3333  0.6667  0.6694
Se  0.6667  0.3333  0.3306
Ho  0.6667  0.3333  0.8345
Ho  0.3333  0.6667  0.1655

Values from the calculation:
The calculated density is 7.69 g/cm3. The total energy is -0.223 hartree per atom. Its total magnetization is 0.00 μB per formula unit.



A plane-wave DFT calculation with PBE was carried out for a geometry-optimized YHo4Se5 structure.

a = 14.6516 Å, b = 14.6516 Å, c = 14.6516 Å
α = 164.13°, β = 164.13°, γ = 22.52°
Atoms (fractional coordinates):
Ho  0.7968  0.7968  0.0000
Ho  0.5980  0.5980  0.0000
Ho  0.4020  0.4020  0.0000
Ho  0.2032  0.2032  0.0000
Se  0.6978  0.6978  0.0000
Se  0.1017  0.1017  0.0000
Se  0.5000  0.5000  0.0000
Se  0.8983  0.8983  0.0000
Se  0.3022  0.3022  0.0000
Y  0.0000  0.0000  0.0000

Values from the calculation:
The calculated density is 8.07 g/cm3. The total energy is -0.219 hartree per atom. Its total magnetization is 0.01 μB per formula unit.